## Er3GaS6 (PBE-GGA)

Data for a geometry-optimized Er3GaS6 structure.

Structure (CIF):
```
data_Er3GaS6
_chemical_formula_sum 'Er12 Ga4 S24'
_space_group_name_H-M_alt 'C m c 21'
_space_group_IT_number 36
_cell_length_a 10.578
_cell_length_b 13.187
_cell_length_c 6.420
_cell_angle_alpha 90.00
_cell_angle_beta 90.00
_cell_angle_gamma 90.00
loop_
_space_group_symop_operation_xyz
'x,y,z'
'-x,-y,z+1/2'
'-x,y,z'
'x,-y,z+1/2'
'x+1/2,y+1/2,z'
'-x+1/2,-y+1/2,z+1/2'
'-x+1/2,y+1/2,z'
'x+1/2,-y+1/2,z+1/2'
loop_
_atom_site_label
_atom_site_type_symbol
_atom_site_fract_x
_atom_site_fract_y
_atom_site_fract_z
Er1 Er 0.000 0.097 0.000
Er2 Er 0.185 0.401 0.910
Ga1 Ga 0.000 0.299 0.375
S1 S 0.000 0.282 0.728
S2 S 0.000 0.461 0.227
S3 S 0.163 0.031 0.706
S4 S 0.167 0.232 0.192
```



## ErGa3Sb (PBE-GGA)

Data for a geometry-optimized ErGa3Sb structure.

Structure (CIF):
```
data_ErGa3Sb
_chemical_formula_sum 'Er2 Ga6 Sb2'
_space_group_name_H-M_alt 'P 6/m m m'
_space_group_IT_number 191
_space_group_name_Hall '-P 6 2'
_cell_length_a 5.4393
_cell_length_b 5.4393
_cell_length_c 8.8823
_cell_angle_alpha 90.00
_cell_angle_beta 90.00
_cell_angle_gamma 120.00
loop_
_atom_site_label
_atom_site_type_symbol
_atom_site_fract_x
_atom_site_fract_y
_atom_site_fract_z
Er1 Er 0.0000 0.0000 0.1863
Ga1 Ga 0.0000 0.5000 0.3413
Sb1 Sb 0.3333 0.6667 0.0000
```



## ErScGa (PBE-GGA)

Data for a geometry-optimized ErScGa structure.

Structure (CIF):
```
data_ErScGa
_chemical_formula_sum 'Er4 Sc4 Ga4'
_space_group_name_H-M_alt 'F -4 3 m'
_space_group_IT_number 216
_space_group_name_Hall 'F -4 2 3'
_cell_length_a 6.767
_cell_length_b 6.767
_cell_length_c 6.767
_cell_angle_alpha 90.00
_cell_angle_beta 90.00
_cell_angle_gamma 90.00
loop_
_atom_site_label
_atom_site_type_symbol
_atom_site_fract_x
_atom_site_fract_y
_atom_site_fract_z
Er1 Er 0.000 0.000 0.000
Sc1 Sc 0.000 0.000 0.500
Ga1 Ga 0.250 0.250 0.250
```



## ErScGa (PBE-GGA)

Data for a geometry-optimized ErScGa structure.

Structure (CIF):
```
data_ErScGa
_chemical_formula_sum 'Er4 Sc4 Ga4'
_space_group_name_H-M_alt 'F -4 3 m'
_space_group_IT_number 216
_space_group_name_Hall 'F -4 2 3'
_cell_length_a 6.865
_cell_length_b 6.865
_cell_length_c 6.865
_cell_angle_alpha 90.00
_cell_angle_beta 90.00
_cell_angle_gamma 90.00
loop_
_atom_site_label
_atom_site_type_symbol
_atom_site_fract_x
_atom_site_fract_y
_atom_site_fract_z
Er1 Er 0.000 0.000 0.000
Sc1 Sc 0.250 0.250 0.250
Ga1 Ga 0.250 0.250 0.750
```



## Er2GaSi (PBE-GGA)

Data for a geometry-optimized Er2GaSi structure.

Structure (CIF):
```
data_Er2GaSi
_chemical_formula_sum 'Er4 Ga2 Si2'
_space_group_name_H-M_alt 'P 1 21/m 1'
_space_group_IT_number 11
_cell_length_a 5.713
_cell_length_b 3.917
_cell_length_c 8.304
_cell_angle_alpha 90.00
_cell_angle_beta 107.67
_cell_angle_gamma 90.00
loop_
_space_group_symop_operation_xyz
'x,y,z'
'-x,-y,-z'
'-x,y+1/2,-z'
'x,-y+1/2,z'
loop_
_atom_site_label
_atom_site_type_symbol
_atom_site_fract_x
_atom_site_fract_y
_atom_site_fract_z
Er1 Er 0.205 0.250 0.427
Er2 Er 0.285 0.750 0.068
Ga1 Ga 0.367 0.750 0.711
Si1 Si 0.137 0.250 0.790
```



## Er2GaSi (PBE-GGA)

Data for a geometry-optimized Er2GaSi structure.

Structure (CIF):
```
data_Er2GaSi
_chemical_formula_sum 'Er4 Ga2 Si2'
_space_group_name_H-M_alt 'A m m 2'
_space_group_IT_number 38
_cell_length_a 3.920
_cell_length_b 4.263
_cell_length_c 10.600
_cell_angle_alpha 90.00
_cell_angle_beta 90.00
_cell_angle_gamma 90.00
loop_
_space_group_symop_operation_xyz
'x,y,z'
'-x,-y,z'
'-x,y,z'
'x,-y,z'
'x,y+1/2,z+1/2'
'-x,-y+1/2,z+1/2'
'-x,y+1/2,z+1/2'
'x,-y+1/2,z+1/2'
loop_
_atom_site_label
_atom_site_type_symbol
_atom_site_fract_x
_atom_site_fract_y
_atom_site_fract_z
Er1 Er 0.000 0.000 0.000
Er2 Er 0.500 0.000 0.280
Ga1 Ga 0.500 0.000 0.563
Si1 Si 0.000 0.000 0.718
```



| no. | raw total energy (eV for the cell shown) | size of the total moment (μB per formula unit) |
| --- | --- | --- |
| 1 | -234.94 | 0.00 |
| 2 | -37.30 | 0.01 |
| 3 | -58.72 | 0.03 |
| 4 | -50.67 | 0.08 |
| 5 | -41.14 | 0.01 |
| 6 | -41.13 | 0.03 |